# TbTl2InSe4, relaxed, DFT PBE-GGA
# Total magnetic moment   0.000 μB per atom
# E_form (uncorrected)   -7.05 eV/f.u.
data_TbTl2InSe4
_cell_length_a 8.615
_cell_length_b 8.642
_cell_length_c 12.356
_cell_angle_alpha 90.00
_cell_angle_beta 90.00
_cell_angle_gamma 90.00
_symmetry_space_group_name_H-M 'I m m a'
_symmetry_Int_Tables_number 74
_symmetry_space_group_name_Hall '-I 2b 2'
loop_
_atom_site_label
_atom_site_type_symbol
_atom_site_fract_x
_atom_site_fract_y
_atom_site_fract_z
Tb1 Tb 0.250 0.250 0.250
Tl1 Tl 0.000 0.000 0.000
Tl2 Tl 0.250 0.250 0.750
In1 In 0.000 0.000 0.500
Se1 Se 0.000 0.026 0.264
Se2 Se 0.219 0.250 0.488



# LiDy2Ag, relaxed, DFT PBE-GGA
# Energy relative to the elements   -0.0947 eV/atom
# Total magnetic moment   0.000 μB per atom
# Distance to the lowest polymorph of the same formula   0.28 kcal/mol of atoms
data_LiDy2Ag
_cell_length_a 7.299
_cell_length_b 7.299
_cell_length_c 7.299
_cell_angle_alpha 90.00
_cell_angle_beta 90.00
_cell_angle_gamma 90.00
_symmetry_space_group_name_H-M 'F m -3 m'
_symmetry_Int_Tables_number 225
_symmetry_space_group_name_Hall '-F 4 2 3'
loop_
_atom_site_label
_atom_site_type_symbol
_atom_site_fract_x
_atom_site_fract_y
_atom_site_fract_z
Li1 Li 0.000 0.000 0.000
Dy1 Dy 0.250 0.250 0.250
Ag1 Ag 0.000 0.000 0.500



# Li5Ca3Ag, relaxed, DFT PBE-GGA
# Energy relative to the elements   -0.0457 eV/atom
# Total magnetic moment   0.000 μB per atom
data_Li5Ca3Ag
_cell_length_a 7.8567
_cell_length_b 7.8567
_cell_length_c 4.5014
_cell_angle_alpha 90.00
_cell_angle_beta 90.00
_cell_angle_gamma 120.00
_symmetry_space_group_name_H-M 'P -6 2 m'
_symmetry_Int_Tables_number 189
_symmetry_space_group_name_Hall 'P -6 -2'
loop_
_atom_site_label
_atom_site_type_symbol
_atom_site_fract_x
_atom_site_fract_y
_atom_site_fract_z
Li1 Li 0.0000 0.2264 0.0000
Li2 Li 0.3333 0.6667 0.0000
Ca1 Ca 0.0000 0.5984 0.5000
Ag1 Ag 0.0000 0.0000 0.5000



# ZnCd7Ag4, relaxed, DFT PBE-GGA
# Energy relative to the elements   0.0070 eV/atom
# Total magnetic moment   0.000 μB per atom
data_ZnCd7Ag4
_cell_length_a 5.215
_cell_length_b 5.606
_cell_length_c 8.521
_cell_angle_alpha 101.13
_cell_angle_beta 93.91
_cell_angle_gamma 93.81
_symmetry_space_group_name_H-M 'P -1'
_symmetry_Int_Tables_number 2
_symmetry_space_group_name_Hall '-P 1'
loop_
_atom_site_label
_atom_site_type_symbol
_atom_site_fract_x
_atom_site_fract_y
_atom_site_fract_z
Zn1 Zn 0.000 0.000 0.000
Cd1 Cd 0.208 0.691 0.446
Cd2 Cd 0.272 0.531 0.098
Cd3 Cd 0.284 0.161 0.338
Cd4 Cd 0.500 0.000 0.000
Ag1 Ag 0.197 0.635 0.773
Ag2 Ag 0.266 0.132 0.699



# GaTePdS2, relaxed, DFT PBE-GGA
# Total magnetic moment   0.031 μB per atom
# E_form (uncorrected)   3.95 eV/f.u.
data_GaTePdS2
_cell_length_a 5.055
_cell_length_b 5.055
_cell_length_c 5.309
_cell_angle_alpha 90.00
_cell_angle_beta 90.00
_cell_angle_gamma 90.00
_symmetry_space_group_name_H-M 'P 4/m m m'
_symmetry_Int_Tables_number 123
_symmetry_space_group_name_Hall '-P 4 2'
loop_
_atom_site_label
_atom_site_type_symbol
_atom_site_fract_x
_atom_site_fract_y
_atom_site_fract_z
Ga1 Ga 0.000 0.000 0.000
Te1 Te 0.000 0.000 0.500
Pd1 Pd 0.500 0.500 0.000
S1 S 0.000 0.500 0.500



# Ca2AgPb8, relaxed, DFT PBE-GGA
# Energy relative to the elements   -0.2029 eV/atom
# Total magnetic moment   0.000 μB per atom
data_Ca2AgPb8
_cell_length_a 4.982
_cell_length_b 4.982
_cell_length_c 13.303
_cell_angle_alpha 90.00
_cell_angle_beta 90.00
_cell_angle_gamma 90.00
_symmetry_space_group_name_H-M 'P 4/m m m'
_symmetry_Int_Tables_number 123
_symmetry_space_group_name_Hall '-P 4 2'
loop_
_atom_site_label
_atom_site_type_symbol
_atom_site_fract_x
_atom_site_fract_y
_atom_site_fract_z
Ca1 Ca 0.000 0.000 0.179
Ag1 Ag 0.000 0.000 0.500
Pb1 Pb 0.000 0.500 0.000
Pb2 Pb 0.000 0.500 0.368
Pb3 Pb 0.500 0.500 0.188